No. 1
Density functional theory data (PBE) for a geometry-optimized RbLiLaBr5 structure.

Calculated values
As for the volume: 637.3 Å³ per cell. The value obtained for the raw formation energy is -1.820 eV per atom. The value obtained for the calculated total energy is -3.842 eV/atom.

a b c (Å): 8.1230 8.1230 11.0274
angles (deg): 103.67 103.67 107.27
Fractional coordinates of all 16 atoms:
Rb: 0.1511 0.8489 0.7500
Rb: 0.8489 0.1511 0.2500
Li: 0.1901 0.8099 0.2500
Li: 0.8099 0.1901 0.7500
La: 0.5000 0.5000 0.0000
La: 0.5000 0.5000 0.5000
Br: 0.1183 0.2517 0.9236
Br: 0.1876 0.5930 0.3861
Br: 0.2517 0.1183 0.4236
Br: 0.4070 0.8124 0.1139
Br: 0.4155 0.5845 0.7500
Br: 0.5845 0.4155 0.2500
Br: 0.5930 0.1876 0.8861
Br: 0.7483 0.8817 0.5764
Br: 0.8124 0.4070 0.6139
Br: 0.8817 0.7483 0.0764

No. 2
Density functional theory data (PBE) for a geometry-optimized RbLiLa2Br8 structure.

Calculated values
As for the volume: 480.2 Å³ per cell. The value obtained for the raw formation energy is -1.836 eV per atom. The value obtained for the calculated total energy is -4.013 eV/atom.

a b c (Å): 7.1925 9.2441 7.2732
angles (deg): 90.00 96.77 90.00
Fractional coordinates of all 12 atoms:
Rb: 0.0000 0.0000 0.0000
Li: 0.0000 0.5000 0.0000
La: 0.5000 0.2589 0.5000
La: 0.5000 0.7411 0.5000
Br: 0.2142 0.2915 0.1880
Br: 0.2142 0.7085 0.1880
Br: 0.3030 0.5000 0.6718
Br: 0.3109 0.0000 0.6555
Br: 0.6891 0.0000 0.3445
Br: 0.6970 0.5000 0.3282
Br: 0.7858 0.2915 0.8120
Br: 0.7858 0.7085 0.8120

No. 3
Density functional theory data (PBE) for a geometry-optimized LiLa3Se2Br6 structure.

Calculated values
As for the volume: 417.9 Å³ per cell. The value obtained for the raw formation energy is -1.849 eV per atom. The value obtained for the calculated total energy is -4.658 eV/atom.

a b c (Å): 8.4617 8.4617 6.5765
angles (deg): 91.90 91.90 62.65
Fractional coordinates of all 12 atoms:
Li: 0.0000 0.0000 0.0000
La: 0.0000 0.5000 0.0000
La: 0.5000 0.0000 0.0000
La: 0.5000 0.5000 0.5000
Se: 0.3308 0.3308 0.2406
Se: 0.6692 0.6692 0.7594
Br: 0.1503 0.1503 0.7696
Br: 0.1625 0.6763 0.7468
Br: 0.3237 0.8375 0.2532
Br: 0.6763 0.1625 0.7468
Br: 0.8375 0.3237 0.2532
Br: 0.8497 0.8497 0.2304

No. 4
Density functional theory data (PBE) for a geometry-optimized LiLaSe2Br structure.

Calculated values
The value obtained for the distance to the lowest polymorph of the same formula is 123 meV/atom. As for the volume: 195.8 Å³ per cell. The value obtained for the raw formation energy is -1.037 eV per atom. The value obtained for the calculated total energy is -4.134 eV/atom.

a b c (Å): 5.7442 5.7442 5.9333
angles (deg): 90.00 90.00 90.00
Fractional coordinates of all 5 atoms:
Li: 0.0000 0.0000 0.0000
La: 0.5000 0.5000 0.5000
Se: 0.0000 0.5000 0.5000
Se: 0.5000 0.0000 0.5000
Br: 0.5000 0.5000 0.0000

No. 5
Density functional theory data (PBE) for a geometry-optimized LiLaSe2Br structure.

Calculated values
The value obtained for the distance to the lowest polymorph of the same formula is 0 meV/atom. As for the volume: 116.5 Å³ per cell. The value obtained for the raw formation energy is -1.160 eV per atom. The value obtained for the calculated total energy is -4.257 eV/atom.

a b c (Å): 4.8535 4.8535 4.9476
angles (deg): 90.00 90.00 90.00
Fractional coordinates of all 5 atoms:
Li: 0.0000 0.0000 0.0000
La: 0.5000 0.5000 0.5000
Se: 0.0000 0.5000 0.0000
Se: 0.5000 0.0000 0.0000
Br: 0.0000 0.0000 0.5000

No. 6
Density functional theory data (PBE) for a geometry-optimized LiLaTeBr structure.

Calculated values
As for the volume: 251.6 Å³ per cell. The value obtained for the raw formation energy is -1.394 eV per atom. The value obtained for the calculated total energy is -4.308 eV/atom.

a b c (Å): 15.1276 15.1276 15.1276
angles (deg): 16.78 16.78 16.78
Fractional coordinates of all 8 atoms:
Li: 0.1889 0.1889 0.1889
Li: 0.8111 0.8111 0.8111
La: 0.4127 0.4127 0.4127
La: 0.5873 0.5873 0.5873
Te: 0.1246 0.1246 0.1246
Te: 0.8754 0.8754 0.8754
Br: 0.2934 0.2934 0.2934
Br: 0.7066 0.7066 0.7066